Record 1
Compound: NdY2MnN4
Source: the Alexandria database
Functional: PBE
Structure: relaxed

Cell and atoms, written as POSCAR:
```
NdY2MnN4
1.0
3.4139 0.0000 0.0000
-1.7069 5.7471 0.0000
0.0000 0.0000 11.5721
N Mn Y Nd
8 2 4 2
Cartesian
1.7069 0.9313 2.8930
1.7069 2.6889 10.0734
0.0000 4.8158 8.6791
0.0000 3.0582 1.4987
0.0000 3.0582 4.2874
1.7069 2.6889 7.2848
0.0000 0.0000 0.0000
0.0000 0.0000 5.7861
1.7069 3.8497 8.6791
0.0000 1.8973 2.8930
1.7069 1.5111 0.5151
0.0000 4.2359 11.0570
1.7069 1.5111 5.2709
0.0000 4.2359 6.3012
1.7069 4.6096 2.8930
0.0000 1.1375 8.6791
```

Computed properties:
The calculation puts the raw total energy at -8.687 eV per atom. Its space group is Cmcm. Its formation energy without anion corrections is -9.33 eV/f.u. Its crystal system is orthorhombic. For the theoretical density, the calculation gives 6.3 g/cm³. The calculation puts the density of states at the Fermi level at 0.45 states/eV/atom.


Record 2
Compound: HRuBr3
Source: the Alexandria database
Functional: PBE
Structure: relaxed

Cell and atoms, written as POSCAR:
```
HRuBr3
1.0
-3.6059 0.4344 -3.6137
-2.9164 -3.3882 2.5028
-2.1776 3.8185 2.6319
H Ru Br
1 1 3
Cartesian
-4.3500 0.4324 0.7605
0.0000 0.0000 0.0000
-1.4582 -1.6941 1.2514
-1.0888 1.9093 1.3160
-1.8029 0.2172 -1.8068
```

Computed properties:
The calculation puts the raw total energy at -3.010 eV per atom. Its space group is Pm-3m. Its crystal system is cubic. For the theoretical density, the calculation gives 4.2 g/cm³. The calculation puts the density of states at the Fermi level at 0.67 states/eV/atom.


Record 3
Compound: Pr5In
Source: the Alexandria database
Functional: PBE
Structure: relaxed

Cell and atoms, written as POSCAR:
```
Pr5In
1.0
5.0396 0.0000 0.0000
0.0000 5.0308 0.0000
0.0000 -2.5154 7.9033
Pr In
5 1
Cartesian
0.0000 2.5154 2.5712
2.5198 2.5154 5.3579
2.5198 0.0000 2.5455
2.5198 2.5154 0.0000
0.0000 0.0000 5.3321
0.0000 0.0000 0.0000
```

Computed properties:
The calculation puts the raw total energy at -4.592 eV per atom. Its space group is Cmmm. As for the formation energy from the elements: -88 kJ/mol of formula units. Its crystal system is orthorhombic. For the theoretical density, the calculation gives 6.8 g/cm³. The calculation puts the density of states at the Fermi level at 1.32 states/eV/atom.


Record 4
Compound: Nb3SeS5
Source: the Alexandria database
Functional: PBE
Structure: relaxed

Cell and atoms, written as POSCAR:
```
Nb3SeS5
1.0
6.9855 -0.0977 0.5397
1.8183 6.7454 0.5397
3.2437 2.4493 8.4774
S Nb Se
10 6 2
Cartesian
5.2057 3.9308 8.4542
7.1192 5.3757 6.0226
6.6431 1.8515 6.0533
8.4482 3.2145 3.5035
5.4044 7.2455 3.5035
5.4628 1.9188 0.5397
6.8419 5.1663 1.1025
3.5994 5.8825 6.0533
4.9284 3.7214 3.5342
3.3410 4.7289 0.5397
5.2127 3.9361 5.9338
6.8349 5.1610 3.6230
8.6054 6.4979 7.8300
3.4422 2.5992 1.7268
0.0000 0.0000 0.0000
1.6219 1.2247 4.2387
8.9094 6.7274 3.5874
3.1382 2.3696 5.9694
```

Computed properties:
The calculation puts the raw total energy at -6.849 eV per atom. Its space group is C2/m. Its formation energy without anion corrections is -7.31 eV/f.u. Its crystal system is monoclinic. For the theoretical density, the calculation gives 4.5 g/cm³. The calculation puts the density of states at the Fermi level at 0.54 states/eV/atom.


Record 5
Compound: Th3SbTeOs
Source: the Alexandria database
Functional: PBE
Structure: relaxed

Cell and atoms, written as POSCAR:
```
Th3SbTeOs
1.0
4.2595 0.0000 0.0000
0.0000 8.3705 -0.3697
0.0000 -3.6621 9.8470
Th Os Te Sb
6 2 2 2
Cartesian
1.0649 1.2173 8.2903
3.1946 3.4911 1.1869
1.0649 -2.5690 8.8766
1.0649 3.9326 4.5773
3.1946 7.2774 0.6006
3.1946 0.7758 4.8999
1.0649 5.4619 1.3484
3.1946 -0.7535 8.1288
3.1946 5.9563 3.3658
1.0649 -1.2479 6.1114
3.1946 3.5181 6.9959
1.0649 1.1903 2.4814
```

Computed properties:
The calculation puts the raw total energy at -7.444 eV per atom. Its space group is P2_1/m. Its formation energy without anion corrections is -3.91 eV/f.u. Its crystal system is monoclinic. For the theoretical density, the calculation gives 10.9 g/cm³. The calculation puts the density of states at the Fermi level at 0.63 states/eV/atom.


Record 6
Compound: Mg2Cd9Hg
Source: the Alexandria database
Functional: PBE
Structure: relaxed

Cell and atoms, written as POSCAR:
```
Mg2Cd9Hg
1.0
4.4476 0.0000 0.0000
0.0000 4.4476 0.0000
0.0000 0.0000 13.6252
Cd Mg Hg
9 2 1
Cartesian
2.2238 0.0000 6.8126
0.0000 2.2238 6.8126
0.0000 2.2238 2.3479
2.2238 0.0000 11.2773
2.2238 0.0000 2.3479
2.2238 2.2238 4.5870
2.2238 2.2238 9.0382
2.2238 2.2238 0.0000
0.0000 2.2238 11.2773
0.0000 0.0000 4.6061
0.0000 0.0000 9.0191
0.0000 0.0000 0.0000
```

Computed properties:
The calculation puts the raw total energy at -1.001 eV per atom. Its space group is P4/mmm. As for the formation energy from the elements: -27 kJ/mol of formula units. Its crystal system is tetragonal. For the theoretical density, the calculation gives 7.8 g/cm³. The calculation puts the density of states at the Fermi level at 0.58 states/eV/atom.


Record 7
Compound: Li3RhN
Source: the Alexandria database
Functional: PBE
Structure: relaxed

Cell and atoms, written as POSCAR:
```
Li3RhN
1.0
5.1729 0.5749 3.1957
2.0607 4.7794 3.1957
0.7767 0.5749 6.0306
Li N Rh
6 2 2
Cartesian
2.9461 3.6378 7.7663
2.7264 4.1741 5.2646
5.2839 1.7551 7.1574
2.8199 1.3884 6.5340
5.0642 2.2915 4.6556
5.1904 4.5409 5.8880
6.4382 4.7655 9.9839
1.5722 1.1637 2.4380
2.5257 1.8695 3.9167
5.4847 4.0597 8.5052
```

Computed properties:
The calculation puts the raw total energy at -4.281 eV per atom. Its space group is R-3. Its formation energy without anion corrections is 0.01 eV/f.u. Its crystal system is trigonal. For the theoretical density, the calculation gives 3.6 g/cm³. The calculation puts the density of states at the Fermi level at 0.77 states/eV/atom.


Record 8
Compound: FeBH
Source: the Alexandria database
Functional: PBE
Structure: relaxed

Cell and atoms, written as POSCAR:
```
FeBH
1.0
-2.4615 0.7943 -2.5781
-3.5927 -0.2480 -0.6064
-2.2688 5.6385 1.6788
Fe B H
2 2 2
Cartesian
-2.7348 3.1054 0.0725
-4.7912 4.6775 -0.2762
-4.3939 2.8324 -1.0236
-3.1322 4.9505 0.8199
-1.8348 0.1857 -0.9544
-3.4225 1.9589 -0.9281
```

Computed properties:
The calculation puts the raw total energy at -5.893 eV per atom. Its space group is C2/m. Its crystal system is monoclinic. For the theoretical density, the calculation gives 4.3 g/cm³. The calculation puts the density of states at the Fermi level at 0.44 states/eV/atom.


Record 9
Compound: HoGe2Pt4
Source: the Alexandria database
Functional: PBE
Structure: relaxed

Cell and atoms, written as POSCAR:
```
HoGe2Pt4
1.0
-3.1414 -2.5271 0.9134
-0.3002 -2.1450 -6.9669
10.6516 -12.0643 3.2554
Pt Ge Ho
16 8 4
Cartesian
0.7779 -4.6341 -5.4686
2.2220 -9.3286 -4.1355
3.8307 -6.9537 -1.3865
4.9880 -7.4078 1.3373
-2.0606 -4.5660 -5.6879
1.0174 -6.7055 -1.0211
3.3793 -9.7827 -1.4116
6.4322 -12.1022 2.6705
6.7776 -9.6305 1.3424
1.4062 -3.9237 -1.3420
5.8038 -12.8126 -1.4561
7.6407 -14.6973 -0.3528
9.2707 -12.1704 2.8898
6.1926 -10.0309 -1.7770
-0.4306 -2.0391 -2.4453
0.4325 -7.1058 -4.1405
4.8498 -10.9870 0.3139
7.9857 -14.2339 2.1160
-0.4014 -4.4216 0.4183
2.3603 -5.7494 -3.1121
7.6114 -12.3148 -3.2164
-0.7757 -2.5025 -4.9141
4.5492 -8.5415 -3.3087
2.6609 -8.1949 0.5105
4.2798 -11.7132 -3.6557
8.1502 -11.8119 0.0281
-0.9402 -4.9245 -2.8262
2.9303 -5.0232 0.8575
```

Computed properties:
The calculation puts the raw total energy at -6.162 eV per atom. Its space group is Pnma. As for the formation energy from the elements: -498 kJ/mol of formula units. Its crystal system is orthorhombic. For the theoretical density, the calculation gives 14.6 g/cm³. The calculation puts the density of states at the Fermi level at 0.39 states/eV/atom.


Record 10
Compound: TaAu2Br
Source: the Alexandria database
Functional: PBE
Structure: relaxed

Cell and atoms, written as POSCAR:
```
TaAu2Br
1.0
-3.1172 5.7631 -0.5087
-3.8588 2.2741 -4.8091
1.6377 -4.2481 4.7392
Au Br Ta
2 1 1
Cartesian
-0.3329 0.3835 -0.2537
-3.1551 3.6351 -2.4051
-2.4837 2.7668 0.7858
-2.8545 1.0223 -1.3643
```

Computed properties:
The calculation puts the raw total energy at -4.705 eV per atom. Its space group is Immm. Its formation energy without anion corrections is 1.26 eV/f.u. Its crystal system is orthorhombic. For the theoretical density, the calculation gives 13.0 g/cm³. The calculation puts the density of states at the Fermi level at 0.73 states/eV/atom.


Record 11
Compound: Cs2ErInI6
Source: the Alexandria database
Functional: PBE
Structure: relaxed

Cell and atoms, written as POSCAR:
```
Cs2ErInI6
1.0
-6.5564 4.1326 3.9424
-1.8882 -7.5603 4.7850
7.8220 3.8135 9.1119
I Cs Er In
12 4 2 2
Cartesian
2.2150 4.2154 13.0821
1.1244 -2.9392 13.0555
-1.7470 3.3249 4.7837
0.1429 -2.3808 8.9046
-0.7655 2.7665 8.9347
0.6684 1.1624 15.7037
-2.8375 -3.8297 4.7571
-1.2909 -0.7767 2.1355
-2.4594 -0.8766 11.9298
4.5456 -0.4248 9.6407
1.8369 1.2624 5.9095
-5.1682 0.8105 8.1985
1.3440 0.6964 11.6245
0.0386 -5.9699 6.8020
-0.6611 6.3556 11.0372
-1.9666 -0.3107 6.2147
-0.9441 -3.7802 2.3925
0.6328 3.9730 6.5271
2.9669 -1.8734 6.9484
-3.2782 2.0663 1.9712
```

Computed properties:
The calculation puts the raw total energy at -3.123 eV per atom. Its space group is P2_1/c. Its formation energy without anion corrections is -12.92 eV/f.u. Its crystal system is monoclinic. For the theoretical density, the calculation gives 4.3 g/cm³. The calculation puts the density of states at the Fermi level at 0.00 states/eV/atom.


Record 12
Compound: Te2AuCl2
Source: the Alexandria database
Functional: PBE
Structure: relaxed

Cell and atoms, written as POSCAR:
```
Te2AuCl2
1.0
7.3516 0.0000 0.0000
0.0000 7.3516 0.0000
0.0000 0.0000 5.4087
Au Cl Te
2 4 4
Cartesian
3.6758 3.6758 0.0000
0.0000 0.0000 0.0000
1.2294 2.4464 2.7044
4.9052 1.2294 2.7044
2.4464 6.1222 2.7044
6.1222 4.9052 2.7044
1.1458 2.5300 0.0000
6.2058 4.8216 0.0000
4.8216 1.1458 0.0000
2.5300 6.2058 0.0000
```

Computed properties:
The calculation puts the raw total energy at -2.824 eV per atom. Its space group is P4/mbm. Its formation energy without anion corrections is -0.87 eV/f.u. Its crystal system is tetragonal. For the theoretical density, the calculation gives 5.9 g/cm³. The calculation puts the density of states at the Fermi level at 0.38 states/eV/atom.